[1]
Cd9SnAu2 after structural relaxation, computed with PBE.

Cell lengths 12.915, 12.915, 6.682 Å; angles 90.00, 90.00, 90.00 degrees
Space group I4_1/amd (No. 141, origin choice 2)
Inequivalent atoms, fractional coordinates:
Cd (0.000, 0.250, 0.375) x4
Cd (0.122, 0.077, 0.151) x32
Sn (0.000, 0.250, 0.875) x4
Au (0.000, 0.000, 0.500) x8

[2]
Cd2SnAu after structural relaxation, computed with PBE.

Cell lengths 3.2993, 3.2993, 29.1435 Å; angles 90.00, 90.00, 120.00 degrees
Space group R3m (No. 160, hexagonal axes)
Inequivalent atoms, fractional coordinates:
Cd (0.0000, 0.0000, 0.0000) x3
Cd (0.0000, 0.0000, 0.1836) x3
Sn (0.0000, 0.0000, 0.7577) x3
Au (0.0000, 0.0000, 0.5919) x3

[3]
Cd8SnAu2 after structural relaxation, computed with PBE.

Cell lengths 8.273, 12.188, 5.348 Å; angles 90.00, 96.82, 90.00 degrees
Space group C2/m (No. 12)
Inequivalent atoms, fractional coordinates:
Cd (0.000, 0.237, 0.000) x4
Cd (0.128, 0.000, 0.812) x4
Cd (0.187, 0.376, 0.608) x8
Sn (0.000, 0.500, 0.000) x2
Au (0.000, 0.180, 0.500) x4

Summary:
relative energy among the computed polymorphs = 14.8 meV per atom

[4]
Cd3SnAu3 after structural relaxation, computed with PBE.

Cell lengths 8.471, 8.471, 8.471 Å; angles 90.00, 90.00, 90.00 degrees
Space group P2_13 (No. 198)
Inequivalent atoms, fractional coordinates:
Cd (0.069, 0.431, 0.569) x4
Cd (0.158, 0.158, 0.158) x4
Cd (0.175, 0.825, 0.325) x4
Sn (0.082, 0.582, 0.918) x4
Au (0.007, 0.759, 0.633) x12

Summary:
relative energy among the computed polymorphs = 0.0 meV per atom

[5]
Cd2SnAu after structural relaxation, computed with PBE.

Cell lengths 3.353, 3.353, 8.095 Å; angles 90.00, 90.00, 90.00 degrees
Space group P4/mmm (No. 123)
Inequivalent atoms, fractional coordinates:
Cd (0.000, 0.000, 0.217) x2
Sn (0.500, 0.500, 0.500) x1
Au (0.500, 0.500, 0.000) x1

[6]
CdSn2Au8 after structural relaxation, computed with PBE.

Cell lengths 17.618, 3.866, 7.134 Å; angles 90.00, 111.54, 90.00 degrees
Space group C2/m (No. 12)
Inequivalent atoms, fractional coordinates:
Cd (0.000, 0.000, 0.000) x2
Sn (0.226, 0.500, 0.714) x4
Au (0.000, 0.500, 0.305) x4
Au (0.130, 0.000, 0.418) x4
Au (0.130, 0.000, 0.821) x4
Au (0.137, 0.500, 0.123) x4

Summary:
relative energy among the computed polymorphs = 34.8 meV per atom

Energy of formation from the pure elements list, top to bottom, in eV per atom: -0.01, 0.00, -0.03, -0.12, -0.04, -0.05
Spin magnetization list, top to bottom, in Bohr magnetons per cell: 0.0, 0.0, 0.0, 0.0, 0.0, 0.0